The following is a DFT calculation (PBE) of Ac2HoPdO5 after structural relaxation.

The structure in POSCAR format:
```
Ac2HoPdO5
1.0
6.914 0.000 0.000
0.000 6.914 0.000
0.000 0.000 5.996
Ac Ho Pd O
4 2 2 10
direct
0.163 0.337 0.000
0.337 0.837 0.000
0.663 0.163 0.000
0.837 0.663 0.000
0.000 0.000 0.500
0.500 0.500 0.500
0.000 0.500 0.500
0.500 0.000 0.500
0.000 0.000 0.000
0.170 0.670 0.274
0.170 0.670 0.726
0.330 0.170 0.274
0.330 0.170 0.726
0.500 0.500 0.000
0.670 0.830 0.274
0.670 0.830 0.726
0.830 0.330 0.274
0.830 0.330 0.726
```

Computed properties:
Raw formation energy (kJ per mole of atoms): -220.14
M_tot (μB/cell): 2.00
Crystal system: tetragonal
Volume (Å³/atom): 15.925